PrNd3Sm6Tm2 | PBE-GGA | relaxed

a = 6.2795 Å, b = 10.8736 Å, c = 12.0326 Å
α = 90.00°, β = 100.03°, γ = 90.00°
Space group C2/m (No. 12)
Unique sites:
1 Pr 0.0000 0.0000 0.0000 x2
2 Nd 0.0000 0.1670 0.5000 x4
3 Nd 0.0000 0.5000 0.5000 x2
4 Sm 0.2480 0.5000 0.2469 x4
5 Sm 0.2501 0.1674 0.2470 x8
6 Tm 0.0000 0.3333 0.0000 x4

Calculated values
DFT formation energy ... 20 kJ/mol of formula units

Tl3BH | PBE-GGA | relaxed

a = 4.9538 Å, b = 4.9538 Å, c = 4.9538 Å
α = 90.00°, β = 90.00°, γ = 90.00°
Space group Pm-3m (No. 221)
Unique sites:
1 Tl 0.0000 0.0000 0.5000 x3
2 B 0.0000 0.0000 0.0000 x1
3 H 0.5000 0.5000 0.5000 x1

Calculated values
Energy relative to the lowest polymorph listed for this composition ... 0 meV/atom

| no. | volume (Å³ per cell) |
| --- | --- |
| 1 | 809.0 |
| 2 | 121.6 |